# 1
CaIrSe2 | PBE-GGA | relaxed

Total DFT energy (no corrections), eV for the cell shown: -40.16
Offset from the most stable computed form, kcal/mol of atoms: 4.20
Symmetry: I-42d
Raw formation energy, eV/atom: -0.562

abc: 5.8001 5.8001 7.7219
angles: 67.94 67.94 90.00
Atoms (fractional coordinates):
Ca: 0.5000 0.5000 0.0000
Ca: 0.2500 0.7500 0.5000
Ir: 0.0000 0.0000 0.0000
Ir: 0.7500 0.2500 0.5000
Se: 0.6901 0.1250 0.2500
Se: 0.0599 0.6250 0.2500
Se: 0.3750 0.3099 0.7500
Se: 0.8750 0.9401 0.7500

# 2
LiSmMg3 | PBE-GGA | relaxed

Total DFT energy (no corrections), eV for the cell shown: -22.90
Energy relative to the elements, eV per atom: -0.007
Offset from the most stable computed form, kcal/mol of atoms: 0.00
Symmetry: C2/m

abc: 4.6899 7.5147 7.6970
angles: 106.53 90.00 108.18
Atoms (fractional coordinates):
Li: 0.5298 0.0595 0.1718
Li: 0.4702 0.9405 0.8282
Sm: 0.8481 0.6962 0.9986
Sm: 0.1519 0.3038 0.0014
Mg: 0.0614 0.1228 0.3712
Mg: 0.9386 0.8772 0.6288
Mg: 0.3810 0.7619 0.3458
Mg: 0.6190 0.2381 0.6542
Mg: 0.2669 0.5337 0.6531
Mg: 0.7331 0.4663 0.3469

# 3
RbIn2AgI8 | PBE-GGA | relaxed

Total DFT energy (no corrections), eV for the cell shown: -29.18
Symmetry: P-3
Raw formation energy, eV/atom: -0.623

abc: 7.6602 7.6602 10.8318
angles: 90.00 90.00 120.00
Atoms (fractional coordinates):
Rb: 0.0000 0.0000 0.0000
In: 0.6667 0.3333 0.2526
In: 0.3333 0.6667 0.7474
Ag: 0.0000 0.0000 0.5000
I: 0.3333 0.6667 0.0019
I: 0.3136 0.3201 0.3275
I: 0.6799 0.9935 0.3275
I: 0.6667 0.3333 0.9981
I: 0.3201 0.0065 0.6725
I: 0.6864 0.6799 0.6725
I: 0.9935 0.3136 0.6725
I: 0.0065 0.6864 0.3275

# 4
NaCd12Pb16 | PBE-GGA | relaxed

Total DFT energy (no corrections), eV for the cell shown: -71.14
Energy relative to the elements, eV per atom: 0.017
Symmetry: Cm

abc: 10.0779 10.0779 10.3162
angles: 109.57 109.57 108.52
Atoms (fractional coordinates):
Na: 0.5992 0.5992 0.2816
Cd: 0.8151 0.8151 0.1856
Cd: 0.6316 0.6316 0.8198
Cd: 0.3700 0.1832 0.9968
Cd: 0.8169 0.6306 0.6324
Cd: 0.1887 0.0030 0.3698
Cd: 0.3691 0.9989 0.1849
Cd: 0.1857 0.8108 0.8170
Cd: 0.8108 0.1857 0.8170
Cd: 0.9989 0.3691 0.1849
Cd: 0.0030 0.1887 0.3698
Cd: 0.6306 0.8169 0.6324
Cd: 0.1832 0.3700 0.9968
Pb: 0.3419 0.3419 0.3243
Pb: 0.0019 0.0019 0.0043
Pb: 0.9949 0.9949 0.6647
Pb: 0.3103 0.3103 0.7212
Pb: 0.6894 0.4119 0.0036
Pb: 0.5878 0.2797 0.5922
Pb: 0.9972 0.6872 0.3990
Pb: 0.0085 0.6589 0.0047
Pb: 0.7137 0.3166 0.3143
Pb: 0.4038 0.9936 0.6844
Pb: 0.9936 0.4038 0.6844
Pb: 0.3166 0.7137 0.3143
Pb: 0.6589 0.0085 0.0047
Pb: 0.6872 0.9972 0.3990
Pb: 0.2797 0.5878 0.5922
Pb: 0.4119 0.6894 0.0036

# 5
Mn2HIrPd | PBE-GGA | relaxed

Total DFT energy (no corrections), eV for the cell shown: -35.75
Offset from the most stable computed form, kcal/mol of atoms: 0.00
Symmetry: P4/mmm

abc: 4.1561 4.1561 3.5343
angles: 90.00 90.00 90.00
Atoms (fractional coordinates):
Mn: 0.0000 0.5000 0.0000
Mn: 0.5000 0.0000 0.0000
Ir: 0.5000 0.5000 0.5000
Pd: 0.0000 0.0000 0.5000
H: 0.0000 0.0000 0.0000

# 6
CdCuPt2 | PBE-GGA | relaxed

Total DFT energy (no corrections), eV for the cell shown: -17.73
Energy relative to the elements, eV per atom: -0.159
Symmetry: Cm

abc: 4.8641 4.8641 4.8459
angles: 79.82 79.82 34.41
Atoms (fractional coordinates):
Cu: 0.2557 0.2557 0.2316
Pt: 0.9985 0.9985 0.0127
Pt: 0.7458 0.7458 0.7530
Cd: 0.4998 0.4998 0.5028

# 7
TmAgSeO4 | PBE-GGA | relaxed

Total DFT energy (no corrections), eV for the cell shown: -83.03
Symmetry: Imma
Raw formation energy, eV/atom: -1.553

abc: 7.1981 6.4898 6.4898
angles: 65.08 56.32 56.32
Atoms (fractional coordinates):
Tm: 0.0000 0.0000 0.0000
Tm: 0.0000 0.5000 0.5000
Ag: 0.5000 0.0000 0.5000
Ag: 0.0000 0.0000 0.5000
Se: 0.5922 0.6578 0.1578
Se: 0.4078 0.3422 0.8422
O: 0.7184 0.7253 0.8379
O: 0.2816 0.6621 0.7747
O: 0.7184 0.3379 0.2253
O: 0.2816 0.2747 0.1621
O: 0.2004 0.7470 0.2470
O: 0.8057 0.7470 0.2470
O: 0.1943 0.2530 0.7530
O: 0.7996 0.2530 0.7530

# 8
DyMg2Hg2 | PBE-GGA | relaxed

Total DFT energy (no corrections), eV for the cell shown: -19.71
Energy relative to the elements, eV per atom: -0.292
Symmetry: P2_1/m

abc: 3.6020 4.9943 13.0951
angles: 90.03 90.00 90.00
Atoms (fractional coordinates):
Dy: 0.2500 0.7491 0.2549
Dy: 0.7500 0.2509 0.7451
Mg: 0.2500 0.7511 0.8635
Mg: 0.7500 0.2489 0.1365
Mg: 0.2500 0.2502 0.5240
Mg: 0.7500 0.7498 0.4760
Hg: 0.2500 0.7507 0.6517
Hg: 0.7500 0.2493 0.3483
Hg: 0.2500 0.2509 0.9514
Hg: 0.7500 0.7491 0.0486

total DFT energy (no corrections) of number 2 (LiSmMg3)?
-22.90 eV for the cell shown

Which value of total DFT energy (no corrections) does entry 8 give?
-19.71 eV for the cell shown